1.
{"formula": "AcGeN", "functional": "PBE", "state": "optimized geometry", "cell": [[-2.244, 2.244, 3.659], [2.244, -2.244, 3.659], [2.244, 2.244, -3.659]], "species": ["Ac", "Ge", "N"], "fractional_positions": [[0.000, 0.000, 0.000], [0.419, 0.419, 0.000], [0.665, 0.665, 0.000]], "e_above_lowest_polymorph_kj_per_mol_atoms": 56.8, "sg": "No. 107"}



2.
{"formula": "AcGeN2", "functional": "PBE", "state": "optimized geometry", "cell": [[2.950, -7.310, 0.000], [2.950, 7.310, 0.000], [0.000, 0.000, 6.912]], "species": ["Ac", "Ac", "Ac", "Ac", "Ge", "Ge", "Ge", "Ge", "N", "N", "N", "N", "N", "N", "N", "N"], "fractional_positions": [[0.167, 0.833, 0.958], [0.333, 0.667, 0.458], [0.667, 0.333, 0.542], [0.833, 0.167, 0.042], [0.075, 0.925, 0.410], [0.425, 0.575, 0.910], [0.575, 0.425, 0.090], [0.925, 0.075, 0.590], [0.148, 0.352, 0.750], [0.173, 0.827, 0.587], [0.327, 0.673, 0.087], [0.352, 0.148, 0.250], [0.648, 0.852, 0.750], [0.673, 0.327, 0.913], [0.827, 0.173, 0.413], [0.852, 0.648, 0.250]], "e_above_lowest_polymorph_kj_per_mol_atoms": 0.0, "sg": "No. 64"}



3.
{"formula": "Ac5Ge2N2", "functional": "PBE", "state": "optimized geometry", "cell": [[-10.167, 3.780, 3.578], [10.167, -3.780, 3.578], [10.167, 3.780, -3.578]], "species": ["Ac", "Ac", "Ac", "Ac", "Ac", "Ac", "Ac", "Ac", "Ac", "Ac", "Ge", "Ge", "Ge", "Ge", "N", "N", "N", "N"], "fractional_positions": [[0.209, 0.415, 0.085], [0.209, 0.625, 0.294], [0.247, 0.014, 0.261], [0.247, 0.486, 0.733], [0.330, 0.125, 0.915], [0.330, 0.915, 0.706], [0.724, 0.585, 0.639], [0.753, 0.514, 0.267], [0.753, 0.986, 0.739], [0.947, 0.085, 0.361], [0.715, 0.135, 0.368], [0.715, 0.847, 0.080], [0.767, 0.347, 0.632], [0.767, 0.635, 0.920], [0.106, 0.942, 0.664], [0.251, 0.251, 0.000], [0.251, 0.751, 0.500], [0.278, 0.442, 0.336]], "energy_ev_per_atom": -5.982, "sg": "No. 46"}